Record 1
12
Lattice="4.354 0.000 0.000 0.000 8.875 0.247 -2.177 -2.632 9.257" Properties=species:S:1:pos:R:3 comment="TbNd2Ho3Te6 PBE relaxed" space_group="C2/m (12)" magnetic_moment_mub_per_fu=0.0 formation_energy_uncorrected_kj_per_mol_fu=-1527 dos_ef_per_ev_cell=6.31 pbc="T T T"
Tb 2.177 0.000 0.000
Nd 2.177 4.143 6.293
Nd 0.000 2.100 3.211
Ho 2.177 4.437 0.124
Ho 2.177 -0.269 6.137
Ho 0.000 6.512 3.367
Te 0.000 6.455 6.423
Te 2.177 4.394 3.154
Te 2.177 -0.212 3.081
Te 2.177 -0.393 9.248
Te 0.000 6.636 0.256
Te 0.000 1.849 6.351

***

Record 2
3
Lattice="-0.318 -3.014 -0.853 0.322 -0.885 3.005 -5.395 2.324 -0.387" Properties=species:S:1:pos:R:3 comment="NpSeN PBE relaxed" space_group="I4mm (107)" magnetic_moment_mub_per_fu=2.9 formation_energy_uncorrected_kj_per_mol_fu=-167 dos_ef_per_ev_cell=3.91 polymorph_energy_ev_per_atom=0.587 pbc="T T T"
Np -2.405 -1.782 1.383
Se -0.045 0.003 0.006
N -2.941 0.204 0.376

***

Record 3
12
Lattice="-0.242 5.802 1.884 -5.012 5.209 -6.794 -8.244 2.328 1.665" Properties=species:S:1:pos:R:3 comment="PrNd7Sm4 PBE relaxed" space_group="C2/m (12)" magnetic_moment_mub_per_fu=0.5 formation_enthalpy_0k_ev_per_atom=0.198 dos_ef_per_ev_cell=19.84 polymorph_energy_ev_per_atom=0.191 pbc="T T T"
Pr 0.000 0.000 0.000
Nd -9.107 10.421 -3.585
Nd -4.390 2.919 0.339
Nd -5.091 4.024 -3.155
Nd -8.407 9.316 -0.091
Nd -10.594 7.114 -3.484
Nd -0.121 2.901 0.942
Nd -2.903 6.226 0.239
Sm -6.202 6.185 -0.059
Sm -7.295 7.155 -3.187
Sm -3.593 7.191 -2.823
Sm -9.905 6.149 -0.423

***

Record 4
80
Lattice="15.110 0.000 0.000 -5.037 14.246 0.000 -5.037 -7.123 12.337" Properties=species:S:1:pos:R:3 comment="Tl5Cd3In12 PBE relaxed" space_group="Ia-3d (230)" magnetic_moment_mub_per_fu=0.0 formation_enthalpy_0k_ev_per_atom=0.199 dos_ef_per_ev_cell=43.31 pbc="T T T"
Cd 8.814 4.452 1.542
Cd 8.814 9.794 1.542
Cd -1.259 6.232 7.711
Cd 1.259 -0.890 4.626
Cd 11.332 0.000 3.084
Cd 1.259 7.123 3.084
Cd 3.777 0.000 9.253
Cd -6.296 7.123 9.253
Cd 3.777 8.013 7.711
Cd 6.296 0.890 4.626
Cd -3.777 -2.671 10.795
Cd -3.777 2.671 10.795
Tl -1.259 3.561 3.084
Tl -2.518 7.123 0.000
Tl 0.000 0.000 0.000
Tl 3.777 2.671 1.542
Tl 5.037 -3.561 6.169
Tl 5.037 7.123 0.000
Tl -3.777 8.013 4.626
Tl 6.296 -4.452 10.795
Tl 6.296 6.232 4.626
Tl 1.259 -3.561 9.253
Tl 3.777 10.684 3.084
Tl 2.518 3.561 6.169
Tl 7.555 0.000 0.000
Tl -2.518 -3.561 6.169
Tl -1.259 0.890 7.711
Tl -1.259 11.575 1.542
Tl -5.037 3.561 6.169
Tl 8.814 -0.890 7.711
Tl 1.259 4.452 10.795
Tl 6.296 3.561 9.253
In 10.062 1.468 0.861
In 0.011 5.041 5.328
In 10.898 3.271 3.267
In 6.730 2.368 1.702
In 1.970 5.734 8.209
In 10.361 6.916 2.040
In -0.825 8.026 4.969
In -4.212 11.878 1.702
In 0.549 8.512 8.209
In 7.268 7.330 2.040
In 7.566 3.550 4.466
In 7.566 12.777 0.861
In -4.488 6.415 7.030
In 2.806 5.459 1.199
In -5.048 10.696 4.466
In 2.529 -2.082 7.010
In -0.549 0.681 2.902
In 2.806 8.993 0.841
In 6.730 10.974 3.267
In -0.287 5.252 0.841
In -3.067 7.804 9.436
In 3.343 6.219 4.969
In 7.006 7.831 7.030
In 5.324 -1.664 11.138
In 1.694 0.904 7.368
In -1.970 -0.708 5.307
In -0.287 8.786 1.199
In -1.694 -3.852 9.070
In 8.103 -0.681 2.902
In 5.324 1.871 11.496
In 2.231 -1.871 11.496
In 2.507 9.204 5.328
In 5.585 6.442 9.436
In 10.084 -3.573 7.871
In 9.525 0.708 5.307
In -2.529 -5.655 11.476
In 2.231 1.664 11.138
In 4.488 -1.389 4.128
In -2.231 -0.207 10.297
In -2.529 3.573 7.871
In 9.248 -4.755 10.635
In 5.861 -0.904 7.368
In -1.694 4.755 10.635
In -5.324 0.207 10.297
In 3.067 1.389 4.128
In -5.861 3.852 9.070
In 5.026 2.082 7.010
In -5.026 5.655 11.476

***

Record 5
8
Lattice="6.778 0.000 0.000 0.000 6.778 0.000 3.389 3.389 2.371" Properties=species:S:1:pos:R:3 comment="Li2FeW PBE relaxed" space_group="I-42d (122)" magnetic_moment_mub_per_fu=2.2 formation_enthalpy_0k_ev_per_atom=0.990 dos_ef_per_ev_cell=5.42 polymorph_energy_ev_per_atom=0.718 pbc="T T T"
Fe 3.389 3.389 0.000
Fe 3.389 6.778 1.186
W 0.000 0.000 0.000
W 6.778 3.389 1.186
Li 4.921 1.695 0.593
Li 1.858 5.084 0.593
Li 5.084 5.247 1.778
Li 8.473 8.310 1.778

***

Record 6
2
Lattice="3.048 0.000 0.000 0.000 3.048 0.000 0.000 0.000 3.155" Properties=species:S:1:pos:R:3 comment="MgBe PBE relaxed" space_group="P4/mmm (123)" magnetic_moment_mub_per_fu=0.0 formation_enthalpy_0k_ev_per_atom=0.394 dos_ef_per_ev_cell=1.04 polymorph_energy_ev_per_atom=0.182 pbc="T T T"
Mg 1.524 1.524 1.577
Be 0.000 0.000 0.000

***

Record 7
9
Lattice="5.726 0.000 0.000 0.000 5.726 0.000 0.000 0.000 11.899" Properties=species:S:1:pos:R:3 comment="Tb2HoThBi5 PBE relaxed" space_group="P4/mmm (123)" magnetic_moment_mub_per_fu=0.0 formation_enthalpy_0k_ev_per_atom=0.203 dos_ef_per_ev_cell=7.21 pbc="T T T"
Tb 2.863 2.863 3.212
Tb 2.863 2.863 8.687
Ho 0.000 0.000 0.000
Th 0.000 0.000 5.950
Bi 0.000 2.863 5.950
Bi 2.863 0.000 5.950
Bi 0.000 0.000 9.027
Bi 0.000 0.000 2.872
Bi 2.863 2.863 0.000

***

Record 8
6
Lattice="-3.784 -2.002 -2.813 4.623 -2.201 0.163 -0.395 -0.274 5.100" Properties=species:S:1:pos:R:3 comment="HfCrTc PBE relaxed" space_group="Imma (74)" magnetic_moment_mub_per_fu=0.0 formation_enthalpy_0k_ev_per_atom=-0.270 dos_ef_per_ev_cell=5.07 polymorph_energy_ev_per_atom=0.000 pbc="T T T"
Hf -0.719 -1.012 3.773
Hf 1.163 -3.465 -1.323
Cr 2.114 -1.238 2.632
Cr -2.090 -1.138 1.143
Tc 0.222 -2.238 1.225
Tc 2.311 -1.101 0.082

***

Record 9
4
Lattice="-1.338 -2.884 0.147 1.388 -2.314 1.688 -5.398 1.213 9.104" Properties=species:S:1:pos:R:3 comment="GeSb2Pd PBE relaxed" space_group="R-3m (166)" magnetic_moment_mub_per_fu=0.0 formation_energy_uncorrected_kj_per_mol_fu=91 dos_ef_per_ev_cell=2.14 pbc="T T T"
Sb -4.052 0.480 6.993
Sb -1.296 -4.466 3.946
Ge -2.674 -1.993 5.470
Pd 0.000 0.000 0.000

***

Record 10
8
Lattice="-2.223 -2.408 3.139 0.944 -5.646 -3.662 5.849 -1.140 3.268" Properties=species:S:1:pos:R:3 comment="ThMgSn6 PBE relaxed" space_group="P4/mmm (123)" magnetic_moment_mub_per_fu=0.0 formation_enthalpy_0k_ev_per_atom=-0.239 dos_ef_per_ev_cell=2.94 pbc="T T T"
Th 2.285 -4.597 1.372
Mg -1.112 -1.204 1.570
Sn 2.085 -4.598 -2.051
Sn 4.708 -2.188 1.656
Sn 5.213 -5.208 -0.303
Sn 1.580 -1.579 -0.092
Sn -0.639 -4.027 -0.261
Sn 1.813 -1.774 3.203

***

Record 11
11
Lattice="-6.497 2.672 2.491 5.455 -1.971 4.681 3.358 7.457 -2.515" Properties=species:S:1:pos:R:3 comment="Rb2Th2AgSe6 PBE relaxed" space_group="C2/m (12)" magnetic_moment_mub_per_fu=0.0 formation_energy_uncorrected_kj_per_mol_fu=-1361 dos_ef_per_ev_cell=7.12 pbc="T T T"
Rb -4.605 1.937 2.837
Rb 3.563 -1.236 4.335
Th 3.159 3.302 2.695
Th -0.843 4.856 1.962
Ag 1.679 3.728 -1.257
Se 1.497 5.577 3.655
Se 4.214 4.576 0.336
Se 0.819 2.581 1.002
Se -0.003 6.215 -0.437
Se -1.899 3.581 4.322
Se 2.319 1.943 5.095

***

Record 12
3
Lattice="4.939 -1.393 1.272 4.652 2.506 0.182 -5.148 -0.042 1.204" Properties=species:S:1:pos:R:3 comment="PIrRu PBE relaxed" space_group="I4mm (107)" magnetic_moment_mub_per_fu=0.0 formation_enthalpy_0k_ev_per_atom=-0.127 dos_ef_per_ev_cell=2.19 polymorph_energy_ev_per_atom=0.239 pbc="T T T"
P 3.142 0.365 0.476
Ir 9.396 1.091 1.425
Ru 6.644 0.771 1.007

***

Record 13
8
Lattice="4.205 0.000 0.000 0.000 4.471 0.000 0.000 0.000 11.133" Properties=species:S:1:pos:R:3 comment="Tm4CoPb3 PBE relaxed" space_group="Pmm2 (25)" magnetic_moment_mub_per_fu=0.0 formation_enthalpy_0k_ev_per_atom=-0.283 dos_ef_per_ev_cell=6.87 pbc="T T T"
Tm 2.102 2.236 3.558
Tm 0.000 2.236 9.965
Tm 0.000 0.000 1.492
Tm 2.102 0.000 7.122
Co 2.102 2.236 0.865
Pb 0.000 2.236 6.762
Pb 0.000 0.000 4.519
Pb 2.102 0.000 10.247

***

Record 14
5
Lattice="5.480 0.000 0.000 0.000 5.480 0.000 0.000 0.000 5.172" Properties=species:S:1:pos:R:3 comment="SbTe2HPt PBE relaxed" space_group="P4/mmm (123)" magnetic_moment_mub_per_fu=1.2 dos_ef_per_ev_cell=5.34 polymorph_energy_ev_per_atom=0.187 pbc="T T T"
Sb 0.000 0.000 2.586
Te 0.000 2.740 0.000
Te 2.740 0.000 0.000
Pt 0.000 0.000 0.000
H 2.740 2.740 2.586

***

Record 15
18
Lattice="-1.685 -1.654 3.531 7.328 1.870 1.819 -3.314 9.979 3.094" Properties=species:S:1:pos:R:3 comment="CdBi2Pd5Au PBE relaxed" space_group="Cmc2_1 (36)" magnetic_moment_mub_per_fu=0.0 formation_enthalpy_0k_ev_per_atom=-0.204 dos_ef_per_ev_cell=7.93 pbc="T T T"
Cd 1.332 5.034 5.549
Cd 2.493 0.656 1.497
Bi 2.146 8.371 7.501
Bi -0.032 7.308 3.409
Bi -0.342 3.406 1.433
Bi 2.720 1.803 4.698
Pd 1.676 10.529 5.734
Pd -0.354 8.178 6.218
Pd -2.524 6.443 4.369
Pd 2.341 7.723 4.736
Pd 3.710 5.935 7.107
Pd -0.845 4.176 4.108
Pd 2.026 3.997 2.839
Pd 5.070 3.099 3.872
Pd 0.327 1.452 3.391
Pd -0.212 0.740 0.246
Au -2.939 8.925 5.334
Au 3.877 5.457 4.407

***

Record 16
7
Lattice="-1.361 2.683 2.853 -5.783 -1.078 1.267 0.079 -2.595 5.491" Properties=species:S:1:pos:R:3 comment="La2Ga2Fe2C PBE relaxed" space_group="C2/m (12)" magnetic_moment_mub_per_fu=0.0 formation_enthalpy_0k_ev_per_atom=-0.375 dos_ef_per_ev_cell=4.82 pbc="T T T"
La -1.734 -0.554 5.719
La -5.331 -0.436 3.892
Ga -2.456 -0.610 2.415
Ga -4.609 -0.380 7.197
Fe -4.276 -2.649 6.477
Fe -2.789 1.659 3.135
C 0.000 0.000 0.000

***

Record 17
9
Lattice="-1.759 -7.518 0.362 7.397 2.243 0.020 -1.412 4.594 6.053" Properties=species:S:1:pos:R:3 comment="K2Na5TlPd PBE relaxed" space_group="I4mm (107)" magnetic_moment_mub_per_fu=0.0 formation_enthalpy_0k_ev_per_atom=-0.026 dos_ef_per_ev_cell=2.77 pbc="T T T"
K 0.042 0.397 4.859
K 4.446 -0.778 1.843
Na 0.727 -2.011 1.846
Na 3.680 1.537 4.775
Na 5.215 2.953 1.669
Na 0.951 4.091 4.589
Na 1.376 1.572 1.397
Tl 4.245 4.850 4.308
Pd 5.722 6.537 5.808

***

Record 18
5
Lattice="-2.698 -3.241 -1.876 1.396 -2.999 3.172 -3.471 1.295 2.753" Properties=species:S:1:pos:R:3 comment="Ti2ZnTcBr PBE relaxed" space_group="P4/mmm (123)" magnetic_moment_mub_per_fu=0.0 formation_energy_uncorrected_kj_per_mol_fu=391 dos_ef_per_ev_cell=7.88 pbc="T T T"
Zn -2.386 -2.472 2.024
Tc 0.698 -1.499 1.586
Br 0.000 0.000 0.000
Ti -1.736 0.648 1.376
Ti -1.349 -1.621 -0.938

***

Record 19
16
Lattice="-4.071 -2.459 -4.201 -3.484 -2.352 4.753 -6.816 10.739 0.317" Properties=species:S:1:pos:R:3 comment="Sm2TePb PBE relaxed" space_group="I4_1/amd (141)" magnetic_moment_mub_per_fu=0.0 formation_energy_uncorrected_kj_per_mol_fu=-396 dos_ef_per_ev_cell=3.48 polymorph_energy_ev_per_atom=0.000 pbc="T T T"
Sm -12.507 5.211 1.881
Sm -1.864 0.716 -1.012
Sm -9.047 3.681 -0.575
Sm -5.324 2.247 1.445
Sm -5.655 -1.668 -0.735
Sm -8.716 7.595 1.604
Sm -9.087 -0.181 1.720
Sm -5.284 6.109 -0.851
Te -7.059 1.059 3.821
Te -7.312 4.868 -2.952
Te -3.613 -0.449 1.365
Te -10.758 6.376 -0.496
Pb -7.019 4.922 1.526
Pb -7.352 1.006 -0.656
Pb -10.465 6.430 3.981
Pb -3.906 -0.503 -3.112

***

Record 20
20
Lattice="8.212 0.000 -1.493 -4.077 12.974 -6.872 -0.058 0.000 15.237" Properties=species:S:1:pos:R:3 comment="K7Rb12Sn PBE relaxed" space_group="R-3m (166)" magnetic_moment_mub_per_fu=0.0 formation_enthalpy_0k_ev_per_atom=0.015 dos_ef_per_ev_cell=16.97 pbc="T T T"
K -2.404 10.154 -5.518
K 7.414 0.003 1.964
K 2.405 10.151 5.523
K 4.106 0.000 -0.746
K 1.672 2.823 1.350
K -3.337 12.972 4.908
K 6.481 2.821 12.390
Rb -1.681 7.637 -1.473
Rb -0.030 2.304 7.621
Rb 1.814 8.481 -5.303
Rb 3.714 0.003 4.600
Rb 2.394 5.334 5.398
Rb -1.813 8.478 5.308
Rb 5.890 4.496 1.565
Rb 1.683 7.641 1.474
Rb 0.363 12.972 2.272
Rb 2.263 4.494 12.175
Rb 4.107 10.671 -0.748
Rb 5.758 5.337 8.345
Sn 0.000 0.000 0.000